Below is a relaxed structure of Pu3GeIr, with properties calculated at the PBE level.

Lattice parameters (Å, degrees): 7.134 7.134 7.423 99.93 99.93 35.50
Sites, in units of the cell vectors:
Pu 0.000 0.000 0.000
Pu 0.188 0.188 0.388
Pu 0.332 0.332 0.239
Pu 0.516 0.516 0.624
Pu 0.739 0.739 0.064
Pu 0.780 0.780 0.565
Ge 0.164 0.164 0.775
Ge 0.354 0.354 0.852
Ir 0.569 0.569 0.258
Ir 0.951 0.951 0.365

Values from the calculation:
Its offset from the most stable computed form is 16 meV/atom. As for the formation energy: -0.33 eV per atom. The total magnetization comes out at 10.62 μB/cell.

***

Below is a relaxed structure of Mg2ZnAs2Pd5, with properties calculated at the PBE level.

Lattice parameters (Å, degrees): 10.057 10.057 3.300 90.00 90.00 90.00
Sites, in units of the cell vectors:
Mg 0.170 0.330 0.000
Mg 0.330 0.830 0.000
Mg 0.670 0.170 0.000
Mg 0.830 0.670 0.000
Zn 0.000 0.000 0.000
Zn 0.500 0.500 0.000
As 0.141 0.641 0.000
As 0.359 0.141 0.000
As 0.641 0.859 0.000
As 0.859 0.359 0.000
Pd 0.000 0.500 0.500
Pd 0.017 0.796 0.500
Pd 0.204 0.017 0.500
Pd 0.296 0.517 0.500
Pd 0.483 0.296 0.500
Pd 0.500 0.000 0.500
Pd 0.517 0.704 0.500
Pd 0.704 0.483 0.500
Pd 0.796 0.983 0.500
Pd 0.983 0.204 0.500

Values from the calculation:
As for the formation energy: -0.48 eV per atom. The total magnetization comes out at 0.00 μB/cell.

***

Below is a relaxed structure of ZnAgBr2, with properties calculated at the PBE level.

Lattice parameters (Å, degrees): 5.720 5.720 5.720 139.90 99.43 94.09
Sites, in units of the cell vectors:
Zn 0.000 0.000 0.000
Ag 0.500 0.500 0.000
Br 0.250 0.750 0.500
Br 0.750 0.250 0.500

Values from the calculation:
As for the uncorrected formation energy: -0.154 eV per atom. Its offset from the most stable computed form is 91 meV/atom. The total magnetization comes out at 0.00 μB/cell.

***

Below is a relaxed structure of HoAl2Zn6, with properties calculated at the PBE level.

Lattice parameters (Å, degrees): 8.267 8.267 8.267 60.00 60.00 60.00
Sites, in units of the cell vectors:
Ho 0.125 0.125 0.125
Ho 0.875 0.875 0.875
Al 0.000 0.500 0.500
Al 0.500 0.000 0.500
Al 0.500 0.500 0.000
Al 0.500 0.500 0.500
Zn 0.123 0.123 0.627
Zn 0.123 0.627 0.123
Zn 0.123 0.627 0.627
Zn 0.373 0.373 0.877
Zn 0.373 0.877 0.373
Zn 0.373 0.877 0.877
Zn 0.627 0.123 0.123
Zn 0.627 0.123 0.627
Zn 0.627 0.627 0.123
Zn 0.877 0.373 0.373
Zn 0.877 0.373 0.877
Zn 0.877 0.877 0.373

Values from the calculation:
Its offset from the most stable computed form is 419 meV/atom. As for the formation energy: 0.35 eV per atom. The total magnetization comes out at 0.00 μB/cell.

***

Below is a relaxed structure of Cs2TiCu2S4, with properties calculated at the PBE level.

Lattice parameters (Å, degrees): 7.242 7.242 8.041 106.17 106.17 30.39
Sites, in units of the cell vectors:
Cs 0.139 0.139 0.066
Cs 0.861 0.861 0.934
Ti 0.000 0.000 0.500
Cu 0.322 0.322 0.517
Cu 0.678 0.678 0.483
S 0.185 0.185 0.653
S 0.483 0.483 0.700
S 0.517 0.517 0.300
S 0.815 0.815 0.347

Values from the calculation:
As for the uncorrected formation energy: -0.927 eV per atom. The total magnetization comes out at 0.00 μB/cell.

***

Below is a relaxed structure of LiCaAlN2, with properties calculated at the PBE level.

Lattice parameters (Å, degrees): 5.797 6.890 5.833 90.00 90.20 90.00
Sites, in units of the cell vectors:
Li 0.133 0.099 0.091
Li 0.133 0.401 0.591
Li 0.867 0.599 0.409
Li 0.867 0.901 0.909
Ca 0.472 0.129 0.758
Ca 0.472 0.371 0.258
Ca 0.528 0.629 0.742
Ca 0.528 0.871 0.242
Al 0.121 0.640 0.073
Al 0.121 0.860 0.573
Al 0.879 0.140 0.427
Al 0.879 0.360 0.927
N 0.212 0.107 0.435
N 0.212 0.393 0.935
N 0.232 0.647 0.392
N 0.232 0.853 0.892
N 0.768 0.147 0.108
N 0.768 0.353 0.608
N 0.788 0.607 0.065
N 0.788 0.893 0.565

Values from the calculation:
As for the uncorrected formation energy: -1.043 eV per atom. The total magnetization comes out at 0.00 μB/cell.

***

Below is a relaxed structure of Er12InFe6, with properties calculated at the PBE level.

Lattice parameters (Å, degrees): 8.319 8.319 8.319 109.47 109.47 109.47
Sites, in units of the cell vectors:
Er 0.103 0.298 0.805
Er 0.195 0.492 0.298
Er 0.195 0.897 0.702
Er 0.298 0.195 0.492
Er 0.298 0.805 0.103
Er 0.492 0.298 0.195
Er 0.508 0.702 0.805
Er 0.702 0.195 0.897
Er 0.702 0.805 0.508
Er 0.805 0.103 0.298
Er 0.805 0.508 0.702
Er 0.897 0.702 0.195
In 0.000 0.000 0.000
Fe 0.111 0.500 0.611
Fe 0.389 0.889 0.500
Fe 0.500 0.389 0.889
Fe 0.500 0.611 0.111
Fe 0.611 0.111 0.500
Fe 0.889 0.500 0.389

Values from the calculation:
As for the formation energy: -0.10 eV per atom. The total magnetization comes out at 6.59 μB/cell.

***

Below is a relaxed structure of CsBa2Na3, with properties calculated at the PBE level.

Lattice parameters (Å, degrees): 4.814 4.814 14.801 90.00 90.00 90.00
Sites, in units of the cell vectors:
Cs 0.000 0.000 0.000
Ba 0.000 0.000 0.348
Ba 0.000 0.000 0.652
Na 0.500 0.500 0.197
Na 0.500 0.500 0.500
Na 0.500 0.500 0.803

Values from the calculation:
As for the formation energy: 0.02 eV per atom. The total magnetization comes out at 0.00 μB/cell.

***

Below is a relaxed structure of Te2RhNF, with properties calculated at the PBE level.

Lattice parameters (Å, degrees): 5.452 5.452 3.594 90.00 90.00 90.00
Sites, in units of the cell vectors:
Te 0.000 0.500 0.000
Te 0.500 0.000 0.000
Rh 0.000 0.000 0.000
N 0.000 0.000 0.500
F 0.500 0.500 0.500

Values from the calculation:
As for the uncorrected formation energy: 0.234 eV per atom. Its offset from the most stable computed form is 0 meV/atom. The total magnetization comes out at 0.00 μB/cell.

***

Below is a relaxed structure of ZrAl2Pb, with properties calculated at the PBE level.

Lattice parameters (Å, degrees): 5.345 5.345 3.203 90.68 90.68 111.62
Sites, in units of the cell vectors:
Zr 0.000 0.000 0.000
Al 0.000 0.500 0.500
Al 0.500 0.000 0.500
Pb 0.500 0.500 0.000

Values from the calculation:
As for the formation energy: -0.03 eV per atom. The total magnetization comes out at 0.00 μB/cell.

***

Below is a relaxed structure of CdBRh3, with properties calculated at the PBE level.

Lattice parameters (Å, degrees): 6.113 6.113 6.113 54.94 54.94 54.94
Sites, in units of the cell vectors:
Cd 0.094 0.094 0.094
Cd 0.906 0.906 0.906
B 0.330 0.330 0.330
B 0.670 0.670 0.670
Rh 0.098 0.585 0.585
Rh 0.415 0.415 0.902
Rh 0.415 0.902 0.415
Rh 0.585 0.098 0.585
Rh 0.585 0.585 0.098
Rh 0.902 0.415 0.415

Values from the calculation:
Its offset from the most stable computed form is 9 meV/atom. As for the formation energy: -0.20 eV per atom. The total magnetization comes out at 0.00 μB/cell.

***

Below is a relaxed structure of Tm5TlTe5, with properties calculated at the PBE level.

Lattice parameters (Å, degrees): 7.503 7.503 8.603 106.81 106.81 48.07
Sites, in units of the cell vectors:
Tm 0.000 0.000 0.000
Tm 0.338 0.338 0.671
Tm 0.339 0.339 0.167
Tm 0.661 0.661 0.833
Tm 0.662 0.662 0.329
Tl 0.500 0.500 0.000
Te 0.167 0.167 0.831
Te 0.171 0.171 0.336
Te 0.500 0.500 0.500
Te 0.829 0.829 0.664
Te 0.833 0.833 0.169

Values from the calculation:
As for the uncorrected formation energy: -1.130 eV per atom. The total magnetization comes out at 0.00 μB/cell.

***

Below is a relaxed structure of Li3Dy2TmTe6, with properties calculated at the PBE level.

Lattice parameters (Å, degrees): 7.497 7.497 7.485 99.61 99.61 120.01
Sites, in units of the cell vectors:
Li 0.000 0.000 0.000
Li 0.332 0.668 0.000
Li 0.668 0.332 0.000
Dy 0.167 0.833 0.500
Dy 0.833 0.167 0.500
Tm 0.500 0.500 0.500
Te 0.085 0.415 0.246
Te 0.254 0.254 0.754
Te 0.415 0.085 0.246
Te 0.585 0.915 0.754
Te 0.746 0.746 0.246
Te 0.915 0.585 0.754

Values from the calculation:
As for the uncorrected formation energy: -1.285 eV per atom. The total magnetization comes out at 0.00 μB/cell.

***

Below is a relaxed structure of CaTl2Cd, with properties calculated at the PBE level.

Lattice parameters (Å, degrees): 3.689 5.111 6.141 90.00 97.33 90.00
Sites, in units of the cell vectors:
Ca 0.000 0.000 0.000
Tl 0.320 0.500 0.738
Tl 0.680 0.500 0.262
Cd 0.500 0.000 0.500

Values from the calculation:
Its offset from the most stable computed form is 59 meV/atom. As for the formation energy: -0.18 eV per atom. The total magnetization comes out at 0.00 μB/cell.

***

Below is a relaxed structure of BaFeOs, with properties calculated at the PBE level.

Lattice parameters (Å, degrees): 6.222 6.222 6.222 133.53 128.19 72.12
Sites, in units of the cell vectors:
Ba 0.376 0.126 0.250
Ba 0.624 0.874 0.750
Fe 0.000 0.500 0.500
Fe 0.500 0.500 0.000
Os 0.050 0.300 0.750
Os 0.950 0.700 0.250

Values from the calculation:
Its offset from the most stable computed form is 267 meV/atom. As for the formation energy: 0.61 eV per atom. The total magnetization comes out at 4.36 μB/cell.

***

Below is a relaxed structure of Ho3TaSe6, with properties calculated at the PBE level.

Lattice parameters (Å, degrees): 8.904 8.904 6.782 90.00 90.00 102.23
Sites, in units of the cell vectors:
Ho 0.093 0.907 0.500
Ho 0.226 0.417 0.406
Ho 0.417 0.226 0.906
Ho 0.583 0.774 0.406
Ho 0.774 0.583 0.906
Ho 0.907 0.093 0.000
Ta 0.302 0.698 0.855
Ta 0.698 0.302 0.355
Se 0.060 0.598 0.674
Se 0.130 0.198 0.705
Se 0.198 0.130 0.205
Se 0.278 0.722 0.221
Se 0.402 0.940 0.674
Se 0.469 0.531 0.705
Se 0.531 0.469 0.205
Se 0.598 0.060 0.174
Se 0.722 0.278 0.721
Se 0.802 0.870 0.705
Se 0.870 0.802 0.205
Se 0.940 0.402 0.174

Values from the calculation:
As for the uncorrected formation energy: -1.358 eV per atom. The total magnetization comes out at 3.72 μB/cell.

***

Below is a relaxed structure of Tm6Fe2Pb, with properties calculated at the PBE level.

Lattice parameters (Å, degrees): 8.334 8.334 8.334 111.14 110.07 107.23
Sites, in units of the cell vectors:
Tm 0.009 0.231 0.779
Tm 0.188 0.289 0.477
Tm 0.188 0.711 0.899
Tm 0.314 0.014 0.700
Tm 0.314 0.613 0.300
Tm 0.452 0.231 0.221
Tm 0.548 0.769 0.779
Tm 0.686 0.387 0.700
Tm 0.686 0.986 0.300
Tm 0.812 0.289 0.101
Tm 0.812 0.711 0.523
Tm 0.991 0.769 0.221
Fe 0.109 0.609 0.500
Fe 0.386 0.000 0.386
Fe 0.614 0.000 0.614
Fe 0.891 0.391 0.500
Pb 0.000 0.000 0.000
Pb 0.500 0.500 0.000

Values from the calculation:
As for the formation energy: -0.20 eV per atom. The total magnetization comes out at 2.60 μB/cell.

***

Below is a relaxed structure of Ca3LaTe, with properties calculated at the PBE level.

Lattice parameters (Å, degrees): 5.979 5.979 5.979 90.00 90.00 90.00
Sites, in units of the cell vectors:
Ca 0.000 0.000 0.500
Ca 0.000 0.500 0.000
Ca 0.500 0.000 0.000
La 0.500 0.500 0.500
Te 0.000 0.000 0.000

Values from the calculation:
As for the uncorrected formation energy: -0.212 eV per atom. The total magnetization comes out at 2.04 μB/cell.

***

Below is a relaxed structure of Cu2Ni2Mo, with properties calculated at the PBE level.

Lattice parameters (Å, degrees): 6.876 6.876 2.607 90.00 90.00 90.00
Sites, in units of the cell vectors:
Cu 0.123 0.377 0.000
Cu 0.377 0.877 0.000
Cu 0.623 0.123 0.000
Cu 0.877 0.623 0.000
Ni 0.176 0.676 0.500
Ni 0.324 0.176 0.500
Ni 0.676 0.824 0.500
Ni 0.824 0.324 0.500
Mo 0.000 0.000 0.000
Mo 0.500 0.500 0.000

Values from the calculation:
Its offset from the most stable computed form is 0 meV/atom. As for the formation energy: 0.20 eV per atom. The total magnetization comes out at 0.00 μB/cell.

***

Below is a relaxed structure of Sr4YAl, with properties calculated at the PBE level.

Lattice parameters (Å, degrees): 7.119 7.119 7.119 60.00 60.00 60.00
Sites, in units of the cell vectors:
Sr 0.125 0.125 0.125
Sr 0.125 0.125 0.626
Sr 0.125 0.626 0.125
Sr 0.626 0.125 0.125
Y 0.750 0.750 0.750
Al 0.500 0.500 0.500

Values from the calculation:
As for the formation energy: 0.56 eV per atom. The total magnetization comes out at 1.74 μB/cell.